La8MgNi2 after structural relaxation. Source: Alexandria via LeMat-Bulk, functional PBE-GGA.

Structure (POSCAR):
```
La8MgNi2
1.0
-0.5166 1.9012 5.4301
4.6850 -6.6866 1.6885
3.8935 6.7010 -3.0740
La Ni Mg
8 2 1
Direct
0.5638 0.3402 0.0883 La
0.2051 0.4107 0.4107 La
0.7958 0.5970 0.5970 La
0.5638 0.0883 0.3402 La
0.4347 0.9177 0.6654 La
0.9999 0.2543 0.7489 La
0.4347 0.6654 0.9177 La
0.9999 0.7489 0.2543 La
0.5013 0.2950 0.7124 Ni
0.5013 0.7124 0.2950 Ni
0.9994 0.0040 0.0040 Mg
```

## Properties
**Energy of formation**: -0.74 eV/f.u.
**SG**: Cm (8)
**Total DFT energy (no corrections)**: -53.3 eV per cell
**N(E_F)**: 1.4132 states/eV per atom
**Spin magnetization**: 0.00 Bohr magnetons per cell